# 1
# Ba6AsP2Br2, relaxed, DFT PBE-GGA
# Volume: 464.3 Å³/f.u.
# Electronic total energy: -4.131 eV/atom
# Energy relative to the elements, uncorrected: -1.372 eV/atom
# DOS at the Fermi energy: 0.263 states/eV/atom
data_Ba6AsP2Br2
_chemical_formula_sum 'Ba12 As2 P4 Br4'
_cell_length_a 8.2197
_cell_length_b 14.2702
_cell_length_c 8.3704
_cell_angle_alpha 90.00
_cell_angle_beta 108.97
_cell_angle_gamma 90.00
_symmetry_space_group_name_H-M 'C 1 2/m 1'
_symmetry_Int_Tables_number 12
_symmetry_space_group_name_Hall '-C 2y'
loop_
_atom_site_label
_atom_site_type_symbol
_atom_site_fract_x
_atom_site_fract_y
_atom_site_fract_z
Ba1 Ba 0.2330 0.0000 0.2148
Ba2 Ba 0.2398 0.3303 0.2148
As1 As 0.0000 0.5000 0.0000
P1 P 0.0000 0.1668 0.0000
Br1 Br 0.0000 0.3341 0.5000


# 2
# BaAs2PBr, relaxed, DFT PBE-GGA
# Volume: 296.9 Å³/f.u.
# Electronic total energy: -2.747 eV/atom
# Energy relative to the elements, uncorrected: 0.914 eV/atom
# DOS at the Fermi energy: 0.226 states/eV/atom
data_BaAs2PBr
_chemical_formula_sum 'Ba1 As2 P1 Br1'
_cell_length_a 6.8581
_cell_length_b 6.8581
_cell_length_c 6.3128
_cell_angle_alpha 90.00
_cell_angle_beta 90.00
_cell_angle_gamma 90.00
_symmetry_space_group_name_H-M 'P 4/m m m'
_symmetry_Int_Tables_number 123
_symmetry_space_group_name_Hall '-P 4 2'
loop_
_atom_site_label
_atom_site_type_symbol
_atom_site_fract_x
_atom_site_fract_y
_atom_site_fract_z
Ba1 Ba 0.0000 0.0000 0.0000
As1 As 0.0000 0.5000 0.0000
P1 P 0.5000 0.5000 0.5000
Br1 Br 0.0000 0.0000 0.5000


# 3
# Ba8AsP3Br3, relaxed, DFT PBE-GGA
# Volume: 616.2 Å³/f.u.
# Electronic total energy: -4.175 eV/atom
# Energy relative to the elements, uncorrected: -1.423 eV/atom
# DOS at the Fermi energy: 0.089 states/eV/atom
data_Ba8AsP3Br3
_chemical_formula_sum 'Ba24 As3 P9 Br9'
_cell_length_a 9.4766
_cell_length_b 9.4766
_cell_length_c 23.7707
_cell_angle_alpha 90.00
_cell_angle_beta 90.00
_cell_angle_gamma 120.00
_symmetry_space_group_name_H-M 'R -3 m'
_symmetry_Int_Tables_number 166
_symmetry_space_group_name_Hall '-R 3 2"'
loop_
_atom_site_label
_atom_site_type_symbol
_atom_site_fract_x
_atom_site_fract_y
_atom_site_fract_z
Ba1 Ba 0.0000 0.0000 0.2376
Ba2 Ba 0.0045 0.5023 0.7617
As1 As 0.0000 0.0000 0.5000
P1 P 0.0000 0.5000 0.5000
Br1 Br 0.0000 0.5000 0.0000